(1)
Tm2TeO2 | Alexandria | meta-GGA SCAN | PBEsol geometry; total magnetic moment = 0.000 μB/f.u.; formation energy without anion corrections = -15.92 eV/f.u.; space group = P-3m1, No. 164
1.0
3.797 0.000 0.000
-1.899 3.288 0.000
0.000 0.000 7.055
Tm Te O
2 1 2
Direct
0.333 0.667 0.306 Tm
0.667 0.333 0.694 Tm
0.000 0.000 0.000 Te
0.333 0.667 0.620 O
0.667 0.333 0.380 O

---

(2)
Tm2Te4O11 | Alexandria | meta-GGA SCAN | PBEsol geometry; total magnetic moment = 0.000 μB/f.u.; formation energy without anion corrections = -34.76 eV/f.u.; space group = C2/c, No. 15
1.0
6.086 -2.522 0.000
6.086 2.522 0.000
-4.486 0.000 15.191
Tm Te O
4 8 22
Direct
0.129 0.632 0.964 Tm
0.368 0.871 0.536 Tm
0.632 0.129 0.464 Tm
0.871 0.368 0.036 Tm
0.093 0.662 0.628 Te
0.095 0.653 0.299 Te
0.338 0.907 0.872 Te
0.347 0.905 0.201 Te
0.653 0.095 0.799 Te
0.662 0.093 0.128 Te
0.905 0.347 0.701 Te
0.907 0.338 0.372 Te
0.052 0.901 0.405 O
0.099 0.948 0.095 O
0.161 0.256 0.948 O
0.187 0.309 0.629 O
0.256 0.161 0.448 O
0.282 0.412 0.831 O
0.309 0.187 0.129 O
0.329 0.537 0.545 O
0.364 0.636 0.250 O
0.412 0.282 0.331 O
0.463 0.671 0.955 O
0.537 0.329 0.045 O
0.588 0.718 0.669 O
0.636 0.364 0.750 O
0.671 0.463 0.455 O
0.691 0.813 0.871 O
0.718 0.588 0.169 O
0.744 0.839 0.552 O
0.813 0.691 0.371 O
0.839 0.744 0.052 O
0.901 0.052 0.905 O
0.948 0.099 0.595 O

---

(3)
Tm2TeO6 | Alexandria | meta-GGA SCAN | PBEsol geometry; total magnetic moment = 0.000 μB/f.u.; formation energy without anion corrections = -25.67 eV/f.u.; E above lowest polymorph = 4 kJ/mol of formula units; space group = P321, No. 150
1.0
8.949 0.000 0.000
-4.474 7.750 0.000
0.000 0.000 5.088
Tm Te O
6 3 18
Direct
0.000 0.380 0.000 Tm
0.000 0.717 0.500 Tm
0.283 0.283 0.500 Tm
0.380 0.000 0.000 Tm
0.620 0.620 0.000 Tm
0.717 0.000 0.500 Tm
0.000 0.000 0.000 Te
0.333 0.667 0.504 Te
0.667 0.333 0.496 Te
0.079 0.203 0.215 O
0.125 0.921 0.215 O
0.130 0.587 0.287 O
0.203 0.079 0.785 O
0.226 0.461 0.722 O
0.235 0.774 0.722 O
0.413 0.543 0.287 O
0.457 0.870 0.287 O
0.461 0.226 0.278 O
0.539 0.765 0.722 O
0.543 0.413 0.713 O
0.587 0.130 0.713 O
0.765 0.539 0.278 O
0.774 0.235 0.278 O
0.797 0.875 0.215 O
0.870 0.457 0.713 O
0.875 0.797 0.785 O
0.921 0.125 0.785 O